Density functional theory data (PBE) for a relaxed CrHgC2 crystal.

The final energy is -5.981 eV/atom.

The space group is I-42d (No. 122) and the conventional cell measures 4.918, 4.918 and 9.150 Å, with angles of 90.00, 90.00 and 90.00 degrees. The inequivalent atoms are Cr at (0.000, 0.000, 0.000), Hg at (0.000, 0.000, 0.500) and C at (0.162, 0.250, 0.125).


Density functional theory data (PBE) for a relaxed CrHg3C crystal.

The final energy is -1.824 eV/atom. The energy above the most stable polymorph in this dataset comes out at 78.8 kJ/mol of atoms.

The space group is Pm-3m (No. 221) and the conventional cell measures 5.181, 5.181 and 5.181 Å, with angles of 90.00, 90.00 and 90.00 degrees. The inequivalent atoms are Cr at (0.000, 0.000, 0.000), Hg at (0.000, 0.000, 0.500) and C at (0.500, 0.500, 0.500).


Density functional theory data (PBE) for a relaxed CrHg3C crystal.

The final energy is -2.641 eV/atom. The energy above the most stable polymorph in this dataset comes out at 0.0 kJ/mol of atoms.

The space group is Pm-3m (No. 221) and the conventional cell measures 4.734, 4.734 and 4.734 Å, with angles of 90.00, 90.00 and 90.00 degrees. The inequivalent atoms are Cr at (0.000, 0.000, 0.000), Hg at (0.000, 0.500, 0.500) and C at (0.500, 0.500, 0.500).


Number 1: calculated formation energy 1.1127 eV per atom. Number 2: calculated formation energy 2.1268 eV per atom. Number 3: calculated formation energy 1.3100 eV per atom.